VASP calculation (GGA-PBE) on a relaxed structure of GdNbCoRu.

Results
final energy: -10.185 eV/atom

Unit cell a=4.6106 b=4.6106 c=4.6106 alpha=60.00 beta=60.00 gamma=60.00
Last column: magnetic moment on the atom in μB.
Fractional positions:
1 Ru 0.5000 0.5000 0.5000  -0.14
2 Nb 0.2500 0.2500 0.2500  0.03
3 Gd 0.7500 0.7500 0.7500  7.05
4 Co 0.0000 0.0000 0.0000  -1.02